A relaxed K4InAu2 crystal. Source: Alexandria, functional PBE.

Energy relative to the elements ... -0.110 eV per atom

Structure (POSCAR):
```
K4InAu2
1.0
3.9773 0.0000 0.0000
0.0000 11.3463 0.0000
0.0000 0.0000 11.3463
Au K In
4 8 2
direct
0.0000 0.8639 0.1361
0.5000 0.6361 0.6361
0.5000 0.3639 0.3639
0.0000 0.1361 0.8639
0.5000 0.3959 0.8091
0.0000 0.8959 0.6909
0.0000 0.6909 0.8959
0.0000 0.1041 0.3091
0.5000 0.8091 0.3959
0.5000 0.1909 0.6041
0.0000 0.3091 0.1041
0.5000 0.6041 0.1909
0.0000 0.5000 0.5000
0.5000 0.0000 0.0000
```